Record 1
SmGa2CuAu PBE-GGA relaxed; final energy = -20.74 eV/cell; space group = I-4m2
1.0
4.305 0.000 0.000
0.000 4.305 0.000
-2.152 -2.152 5.179
Cu Au Sm Ga
1 1 1 2
Direct
0.250 0.750 0.500 Cu
0.750 0.250 0.500 Au
0.000 0.000 0.000 Sm
0.619 0.619 0.237 Ga
0.381 0.381 0.763 Ga


Record 2
Cu2Pb5F12 PBE-GGA relaxed; space group = C2/m; formation energy without anion corrections = -2.0314 eV per atom
1.0
-2.773 2.614 4.716
-4.587 -1.606 -5.704
1.267 -6.932 4.587
Cu F Pb
2 12 5
Direct
0.233 0.000 0.000 Cu
0.767 0.000 0.000 Cu
0.590 0.709 0.964 F
0.881 0.291 0.036 F
0.958 0.915 0.757 F
0.410 0.291 0.036 F
0.418 0.342 0.582 F
0.582 0.658 0.418 F
0.119 0.709 0.964 F
0.924 0.342 0.582 F
0.042 0.085 0.243 F
0.483 0.967 0.321 F
0.076 0.658 0.418 F
0.517 0.033 0.679 F
0.000 0.000 0.500 Pb
0.655 0.311 0.340 Pb
0.696 0.391 0.830 Pb
0.304 0.609 0.170 Pb
0.345 0.689 0.660 Pb


Record 3
ThBe3Au10 PBE-GGA relaxed; final energy = -109.49 eV/cell; space group = Fm-3m
1.0
7.660 0.000 4.422
2.553 7.222 4.422
0.000 0.000 8.845
Au Be Th
20 6 2
Direct
0.387 0.838 0.387 Au
0.000 0.000 0.662 Au
0.000 0.662 0.000 Au
0.613 0.613 0.613 Au
0.338 0.000 0.662 Au
0.387 0.387 0.838 Au
0.613 0.162 0.613 Au
0.662 0.000 0.338 Au
0.000 0.338 0.662 Au
0.338 0.000 0.000 Au
0.000 0.338 0.000 Au
0.838 0.387 0.387 Au
0.613 0.613 0.162 Au
0.662 0.338 0.000 Au
0.000 0.000 0.338 Au
0.387 0.387 0.387 Au
0.000 0.662 0.338 Au
0.338 0.662 0.000 Au
0.662 0.000 0.000 Au
0.162 0.613 0.613 Au
0.739 0.261 0.261 Be
0.739 0.261 0.739 Be
0.261 0.739 0.739 Be
0.261 0.261 0.739 Be
0.739 0.739 0.261 Be
0.261 0.739 0.261 Be
0.750 0.750 0.750 Th
0.250 0.250 0.250 Th


Record 4
TePtI2F PBE-GGA relaxed; space group = P4/mmm; energy above the lowest structure with this stoichiometry = 0.000 eV/atom; formation energy without anion corrections = 0.1404 eV per atom
1.0
-3.406 2.802 3.327
-4.244 -3.065 -1.763
0.888 -3.397 3.769
I F Te Pt
2 1 1 1
Direct
0.000 0.500 0.000 I
0.500 0.000 0.000 I
0.500 0.500 0.500 F
0.000 0.000 0.500 Te
0.000 0.000 0.000 Pt


Record 5
CoGeSbTe2 PBE-GGA relaxed; space group = P4/mmm; energy above the lowest structure with this stoichiometry = 0.439 eV/atom; formation energy without anion corrections = 0.8695 eV per atom
1.0
5.855 0.000 0.000
0.000 4.699 0.000
0.000 0.000 5.855
Te Co Ge Sb
2 1 1 1
Direct
0.500 0.000 0.000 Te
0.000 0.000 0.500 Te
0.000 0.500 0.000 Co
0.500 0.500 0.500 Ge
0.000 0.000 0.000 Sb


Record 6
ErGa3Cu2 PBE-GGA relaxed; final energy = -47.39 eV/cell; space group = Cmcm
1.0
5.454 0.000 0.000
0.000 6.140 0.122
0.000 -1.114 6.039
Cu Ga Er
4 6 2
Direct
0.000 0.228 0.772 Cu
0.500 0.228 0.772 Cu
0.000 0.772 0.228 Cu
0.500 0.772 0.228 Cu
0.250 0.558 0.868 Ga
0.750 0.442 0.132 Ga
0.250 0.868 0.558 Ga
0.750 0.132 0.442 Ga
0.750 0.021 0.021 Ga
0.250 0.979 0.979 Ga
0.750 0.652 0.652 Er
0.250 0.348 0.348 Er


Record 7
ZrTiRh PBE-GGA relaxed; space group = P3m1; energy above the lowest structure with this stoichiometry = 0.254 eV/atom
1.0
-2.263 -1.849 -0.693
-0.896 -0.539 4.368
-1.989 3.298 -2.310
Ti Zr Rh
1 1 1
Direct
0.621 0.333 0.667 Ti
0.024 0.000 0.000 Zr
0.356 0.667 0.333 Rh


Record 8
YHo3Se4 PBE-GGA relaxed; space group = Pm-3m; energy above the lowest structure with this stoichiometry = 0.009 eV/atom; formation energy without anion corrections = -1.7211 eV per atom
1.0
5.747 0.000 0.000
0.000 5.747 0.000
0.000 0.000 5.747
Ho Se Y
3 4 1
Direct
0.000 0.500 0.500 Ho
0.500 0.500 0.000 Ho
0.500 0.000 0.500 Ho
0.000 0.000 0.500 Se
0.500 0.500 0.500 Se
0.500 0.000 0.000 Se
0.000 0.500 0.000 Se
0.000 0.000 0.000 Y